## Tb5Mg4Co2 (PBE-GGA)

Data for a geometry-optimized Tb5Mg4Co2 structure.

Cell lengths 3.6036, 8.0535, 18.1865 Å; angles 90.00, 90.00, 90.00 degrees
Element x y z (fractional)
Mg: 0.5000 0.3012 0.5665
Mg: 0.5000 0.4453 0.8476
Mg: 0.5000 0.8012 0.9335
Mg: 0.5000 0.1988 0.0665
Mg: 0.5000 0.9453 0.6524
Mg: 0.5000 0.6988 0.4335
Mg: 0.5000 0.5547 0.1524
Mg: 0.5000 0.0547 0.3476
Tb: 0.0000 0.8764 0.0951
Tb: 0.0000 0.7628 0.7789
Tb: 0.0000 0.1236 0.9049
Tb: 0.0000 0.2628 0.7211
Tb: 0.0000 0.5000 0.0000
Tb: 0.0000 0.7372 0.2789
Tb: 0.0000 0.2372 0.2211
Tb: 0.0000 0.6236 0.5951
Tb: 0.0000 0.0000 0.5000
Tb: 0.0000 0.3764 0.4049
Co: 0.5000 0.5374 0.6989
Co: 0.5000 0.0374 0.8011
Co: 0.5000 0.9626 0.1989
Co: 0.5000 0.4626 0.3011

- volume (Å³/f.u.) = 263.9
- space-group type = Pbam (55)
- E_tot (eV per atom) = -4.108
- energy of formation (eV/atom) = -0.1318
- Fermi-level density of states (states/eV/cell) = 20.82